! GGA-PBE PuMn3Pd6, relaxed; values from VASP
! Fermi-level density of states: 25.8 states/eV/cell
! symmetry: P2_1/m, No. 11
&SYSTEM
  ibrav = 0, nat = 20, ntyp = 3
/
ATOMIC_SPECIES
Pd 106.42 Pd.upf
Mn 54.94 Mn.upf
Pu 244.00 Pu.upf
ATOMIC_POSITIONS crystal
Pd 0.2500 0.6207 0.6884
Mn 0.7500 0.6494 0.1817
Pd 0.7500 0.3793 0.3116
Pd 0.7500 0.5373 0.8987
Pd 0.2500 0.2790 0.5208
Pd 0.2500 0.4627 0.1013
Mn 0.7500 0.4486 0.6087
Mn 0.7500 0.2510 0.0304
Pd 0.2500 0.0621 0.9150
Pd 0.2500 0.1590 0.2135
Pd 0.7500 0.7210 0.4792
Pd 0.7500 0.9379 0.0850
Mn 0.2500 0.3506 0.8183
Mn 0.2500 0.5514 0.3913
Pd 0.2500 0.8271 0.2697
Mn 0.2500 0.7490 0.9696
Pd 0.7500 0.8410 0.7865
Pd 0.7500 0.1729 0.7303
Pu 0.7500 0.0555 0.3905
Pu 0.2500 0.9445 0.6095
CELL_PARAMETERS angstrom
-2.4145 -2.6964 -2.1641
-3.2026 -2.9589 7.2600
-6.3224 6.5476 -1.1041

! GGA-PBE CuAg2Ru2, relaxed; values from VASP
! Fermi-level density of states: 10.5 states/eV/cell
! distance to the lowest polymorph of the same formula: 0.00 eV/f.u.
! symmetry: P4/mbm, No. 127
&SYSTEM
  ibrav = 0, nat = 10, ntyp = 3
/
ATOMIC_SPECIES
Cu 63.55 Cu.upf
Ru 101.07 Ru.upf
Ag 107.87 Ag.upf
ATOMIC_POSITIONS crystal
Cu 0.5000 0.5000 0.0000
Ru 0.8716 0.6284 0.0000
Cu 0.0000 0.0000 0.0000
Ag 0.1771 0.6771 0.5000
Ag 0.8229 0.3229 0.5000
Ag 0.3229 0.1771 0.5000
Ru 0.3716 0.8716 0.0000
Ru 0.1284 0.3716 0.0000
Ru 0.6284 0.1284 0.0000
Ag 0.6771 0.8229 0.5000
CELL_PARAMETERS angstrom
-2.3314 -4.6867 -3.4462
-0.6897 -3.4638 5.1772
-3.9424 1.5733 0.5274

no.,spin magnetization (μB per atom),ΔE_f (meV/atom)
1,1.8596,-286
2,0.2053,751